[1]
DFT (PBE) results for a relaxed Pm4In3Ga crystal.

## Properties
* energy above the most stable polymorph in this dataset: 41 meV per atom
* ΔE_f: -470 meV/atom
* calculated total energy: -34.0 eV for the cell shown

```
Pm4In3Ga
1.0
4.3767 0.0000 0.0000
0.0000 4.6287 0.0000
0.0000 0.0000 11.6536
Pm In Ga
4 3 1
direct
0.0000 0.0000 0.0000
0.0000 0.5000 0.4844
0.5000 0.0000 0.7112
0.5000 0.5000 0.2161
0.0000 0.5000 0.7683
0.5000 0.0000 0.4258
0.5000 0.5000 0.9358
0.0000 0.0000 0.2709
```



[2]
DFT (PBE) results for a relaxed Ba2LiCdF6 crystal.

## Properties
* energy relative to the elements, uncorrected: -2973 meV per atom
* calculated total energy: -95.3 eV for the cell shown

```
Ba2LiCdF6
1.0
5.8820 0.0000 0.0000
0.0000 8.5704 0.0000
0.0000 0.0000 6.8836
Ba Li Cd F
4 2 2 12
direct
0.2500 0.0240 0.1931
0.2500 0.4760 0.1931
0.7500 0.5240 0.8069
0.7500 0.9760 0.8069
0.2500 0.7500 0.7850
0.7500 0.2500 0.2150
0.2500 0.2500 0.6853
0.7500 0.7500 0.3147
0.0078 0.7500 0.0268
0.0152 0.2500 0.3856
0.2500 0.5149 0.8154
0.2500 0.9851 0.8154
0.4848 0.2500 0.3856
0.4922 0.7500 0.0268
0.5078 0.2500 0.9732
0.5152 0.7500 0.6144
0.7500 0.0149 0.1846
0.7500 0.4851 0.1846
0.9848 0.7500 0.6144
0.9922 0.2500 0.9732
```



[3]
DFT (PBE) results for a relaxed Na2CaTe2 crystal.

## Properties
* energy above the most stable polymorph in this dataset: 145 meV per atom
* energy relative to the elements, uncorrected: -966 meV per atom
* calculated total energy: -31.5 eV for the cell shown

```
Na2CaTe2
1.0
8.4856 0.0000 0.0000
0.0000 8.4856 0.0000
0.0000 0.0000 4.4645
Na Ca Te
4 2 4
direct
0.1301 0.3699 0.0000
0.3699 0.8699 0.0000
0.6301 0.1301 0.0000
0.8699 0.6301 0.0000
0.0000 0.0000 0.5000
0.5000 0.5000 0.5000
0.1776 0.6776 0.5000
0.3224 0.1776 0.5000
0.6776 0.8224 0.5000
0.8224 0.3224 0.5000
```